First-principles (PBE with a Hubbard U) data for a geometry-optimized TeMoP2O structure, as listed in Alexandria via LeMat-Bulk.

abc: 4.9681 4.9681 3.8187
angles: 90.00 90.00 90.00
Last column: nearest neighbours and their distance in Å.
Fractional coordinates of all 5 atoms:
P  0.0000  0.5000  0.0000  2 Mo 2.48
P  0.5000  0.0000  0.0000  2 Mo 2.48
Mo  0.0000  0.0000  0.0000  2 O 1.91
Te  0.5000  0.5000  0.5000  8 P 3.13
O  0.0000  0.0000  0.5000  2 Mo 1.91

## Properties
The energy above the most stable polymorph in this dataset comes out at 0.000 eV/atom. The calculation puts the density at 5312 kg/m³. The density of states at the Fermi level comes out at 0.52 states/eV/atom. Its size of the total moment is 0.978 μB per formula unit.